## Sr2Mg6Hg (PBE)

Data for an optimized crystal structure of Sr2Mg6Hg.

Structure (CIF):
```
data_Sr2Mg6Hg
_chemical_formula_sum 'Sr4 Mg12 Hg2'
_cell_length_a 10.754
_cell_length_b 6.782
_cell_length_c 7.058
_cell_angle_alpha 90.00
_cell_angle_beta 97.88
_cell_angle_gamma 90.00
_symmetry_space_group_name_H-M 'C 1 2/m 1'
_symmetry_Int_Tables_number 12
loop_
_symmetry_equiv_pos_as_xyz
'x,y,z'
'-x,-y,-z'
'-x,y,-z'
'x,-y,z'
'x+1/2,y+1/2,z'
'-x+1/2,-y+1/2,-z'
'-x+1/2,y+1/2,-z'
'x+1/2,-y+1/2,z'
loop_
_atom_site_label
_atom_site_type_symbol
_atom_site_fract_x
_atom_site_fract_y
_atom_site_fract_z
_atom_site_occupancy
Sr1 Sr 0.162 0.000 0.376 1
Mg1 Mg 0.112 0.230 0.854 1
Mg2 Mg 0.134 0.500 0.184 1
Hg1 Hg 0.000 0.500 0.500 1
```

Final energy ... -1.5925 eV/atom
Formation energy ... -122 meV/atom